{"formula": "Pr6Ni2Br3Cl", "functional": "GGA-PBE", "state": "relaxed", "lattice": [[-4.243, 5.294, -2.661], [-2.221, -6.935, -0.281], [-1.098, 1.311, 7.667]], "species": ["Pr", "Pr", "Br", "Cl", "Pr", "Br", "Ni", "Pr", "Pr", "Ni", "Br", "Pr"], "frac_coords": [[0.706, 0.706, 0.199], [0.068, 0.429, 0.201], [0.841, 0.159, 0.500], [0.000, 0.000, 0.000], [0.932, 0.571, 0.799], [0.500, 0.500, 0.500], [0.333, 0.667, 0.000], [0.429, 0.068, 0.201], [0.294, 0.294, 0.801], [0.667, 0.333, 0.000], [0.159, 0.841, 0.500], [0.571, 0.932, 0.799]], "m_tot_mub_per_atom": 0.000, "e_form_raw_ev_per_atom": -0.99, "energy_ev_per_atom": -4.919, "vol_a3_per_atom": 28.653}